No. 1
Computed, not measured: TcTe3C after structural relaxation at the GGA-PBE level of DFT.

## Properties
**Excess energy over the best structure of this formula in the dataset**: 0.00 eV per formula unit
**Raw formation energy**: 1.365 eV per atom
**Symmetry**: No. 221

The structure in extended XYZ format:
```
5
Lattice="4.622 0.000 0.000 0.000 4.622 0.000 0.000 0.000 4.622" Properties=species:S:1:pos:R:3 pbc="T T T"
Tc 0.000 0.000 0.000
Te 0.000 2.311 2.311
Te 2.311 0.000 2.311
Te 2.311 2.311 0.000
C 2.311 2.311 2.311
```

No. 2
Computed, not measured: La4NdGa after structural relaxation at the GGA-PBE level of DFT.

## Properties
**Excess energy over the best structure of this formula in the dataset**: 2.10 eV per formula unit
**ΔE_f**: 0.18 eV/atom
**Symmetry**: No. 123

The structure in extended XYZ format:
```
6
Lattice="5.329 0.000 0.000 0.000 5.329 0.000 0.000 0.000 7.789" Properties=species:S:1:pos:R:3 pbc="T T T"
La 0.000 2.664 1.761
La 0.000 2.664 6.027
La 2.664 0.000 1.761
La 2.664 0.000 6.027
Nd 0.000 0.000 3.894
Ga 2.664 2.664 0.000
```

No. 3
Computed, not measured: Pr2HoEr7 after structural relaxation at the GGA-PBE level of DFT.

## Properties
**Excess energy over the best structure of this formula in the dataset**: 0.00 eV per formula unit
**ΔE_f**: 0.02 eV/atom
**Symmetry**: No. 2

The structure in extended XYZ format:
```
10
Lattice="6.138 0.000 0.000 2.017 6.809 0.000 2.057 1.232 7.563" Properties=species:S:1:pos:R:3 pbc="T T T"
Pr 2.050 2.155 0.768
Pr 8.162 5.886 6.796
Ho 1.029 0.616 3.782
Er 2.037 4.021 3.782
Er 3.046 5.573 0.771
Er 4.086 1.548 5.270
Er 5.100 4.951 5.276
Er 5.113 3.091 2.287
Er 6.126 6.493 2.293
Er 7.166 2.468 6.792
```

No. 4
Computed, not measured: Er2TcB6 after structural relaxation at the GGA-PBE level of DFT.

## Properties
**Excess energy over the best structure of this formula in the dataset**: 2.40 eV per formula unit
**ΔE_f**: -0.11 eV/atom
**Symmetry**: No. 12

The structure in extended XYZ format:
```
9
Lattice="4.395 -2.392 0.000 4.395 2.392 0.000 -2.034 0.000 5.171" Properties=species:S:1:pos:R:3 pbc="T T T"
Er 0.476 0.000 1.546
Er 6.281 0.000 3.626
Tc 3.378 0.000 2.586
B 2.877 0.839 0.567
B 0.027 0.000 4.394
B 3.880 0.839 4.604
B 2.877 -0.839 0.567
B 6.730 0.000 0.777
B 3.880 -0.839 4.604
```

Short version: theoretical density = 8.3 5.8 8.5 7.6 Mg/m³, in the order given.